Computed, not measured: an optimized crystal structure of HfReMo at the GGA-PBE level of DFT.

Cell: 5.3190 5.3190 5.3190 Å, 120.15 119.83 90.01°
Positions (direct):
Hf 0.3767 0.1267 0.2500
Hf 0.6233 0.8733 0.7500
Re 0.0000 0.5000 0.5000
Re 0.5000 0.5000 0.0000
Mo 0.0000 0.0000 0.5000
Mo 0.0000 0.5000 0.0000

Output
E_form in eV/atom: -0.290
Energy in eV per atom: -11.368
Energy above the lowest structure with this stoichiometry in kcal/mol of atoms: 0.00
Space-group type: Imma (74)